[1]
# PBE Sb2TePt, optimized geometry
data_Sb2TePt
_space_group_name_H-M_alt 'P 4/m m m'
_space_group_IT_number 123
_space_group_name_Hall '-P 4 2'
_cell_length_a 5.161
_cell_length_b 5.161
_cell_length_c 3.543
_cell_angle_alpha 90.00
_cell_angle_beta 90.00
_cell_angle_gamma 90.00
loop_
_atom_site_label
_atom_site_type_symbol
_atom_site_fract_x
_atom_site_fract_y
_atom_site_fract_z
_atom_site_occupancy
Sb1 Sb 0.000 0.500 0.000 1
Te1 Te 0.000 0.000 0.500 1
Pt1 Pt 0.500 0.500 0.500 1
# * uncorrected formation energy: 255 meV/atom
# * Fermi-level density of states: 2.71 states/eV/f.u.

***

[2]
# PBE Sb2TePt, optimized geometry
data_Sb2TePt
_space_group_name_H-M_alt 'P 4 m m'
_space_group_IT_number 99
_cell_length_a 3.198
_cell_length_b 3.198
_cell_length_c 10.005
_cell_angle_alpha 90.00
_cell_angle_beta 90.00
_cell_angle_gamma 90.00
loop_
_space_group_symop_operation_xyz
'x,y,z'
'-y,x,z'
'-x,-y,z'
'y,-x,z'
'-x,y,z'
'y,x,z'
'x,-y,z'
'-y,-x,z'
loop_
_atom_site_label
_atom_site_type_symbol
_atom_site_fract_x
_atom_site_fract_y
_atom_site_fract_z
_atom_site_occupancy
Sb1 Sb 0.000 0.000 0.000 1
Sb2 Sb 0.500 0.500 0.283 1
Te1 Te 0.000 0.000 0.621 1
Pt1 Pt 0.500 0.500 0.830 1
# * uncorrected formation energy: 108 meV/atom
# * Fermi-level density of states: 2.23 states/eV/f.u.

***

[3]
# PBE Sb2TePt, optimized geometry
data_Sb2TePt
_space_group_name_H-M_alt 'C 1 2/m 1'
_space_group_IT_number 12
_cell_length_a 12.727
_cell_length_b 3.654
_cell_length_c 4.710
_cell_angle_alpha 90.00
_cell_angle_beta 111.49
_cell_angle_gamma 90.00
loop_
_space_group_symop_operation_xyz
'x,y,z'
'-x,-y,-z'
'-x,y,-z'
'x,-y,z'
'x+1/2,y+1/2,z'
'-x+1/2,-y+1/2,-z'
'-x+1/2,y+1/2,-z'
'x+1/2,-y+1/2,z'
loop_
_atom_site_label
_atom_site_type_symbol
_atom_site_fract_x
_atom_site_fract_y
_atom_site_fract_z
_atom_site_occupancy
Sb1 Sb 0.179 0.000 0.179 1
Te1 Te 0.000 0.000 0.500 1
Pt1 Pt 0.000 0.500 0.000 1
# * uncorrected formation energy: -25 meV/atom
# * Fermi-level density of states: 2.07 states/eV/f.u.

***

[4]
# PBE Sb2TePt, optimized geometry
data_Sb2TePt
_space_group_name_H-M_alt 'I 4/m m m'
_space_group_IT_number 139
_space_group_name_Hall '-I 4 2'
_cell_length_a 5.877
_cell_length_b 5.877
_cell_length_c 5.832
_cell_angle_alpha 90.00
_cell_angle_beta 90.00
_cell_angle_gamma 90.00
loop_
_atom_site_label
_atom_site_type_symbol
_atom_site_fract_x
_atom_site_fract_y
_atom_site_fract_z
_atom_site_occupancy
Sb1 Sb 0.000 0.500 0.000 1
Te1 Te 0.000 0.000 0.000 1
Pt1 Pt 0.000 0.000 0.500 1
# * uncorrected formation energy: -12 meV/atom
# * Fermi-level density of states: 2.43 states/eV/f.u.

***

[5]
# PBE SbTePt4, optimized geometry
data_SbTePt4
_space_group_name_H-M_alt 'F -4 3 m'
_space_group_IT_number 216
_space_group_name_Hall 'F -4 2 3'
_cell_length_a 7.712
_cell_length_b 7.712
_cell_length_c 7.712
_cell_angle_alpha 90.00
_cell_angle_beta 90.00
_cell_angle_gamma 90.00
loop_
_atom_site_label
_atom_site_type_symbol
_atom_site_fract_x
_atom_site_fract_y
_atom_site_fract_z
_atom_site_occupancy
Sb1 Sb 0.000 0.000 0.000 1
Te1 Te 0.250 0.250 0.750 1
Pt1 Pt 0.125 0.125 0.375 1
# * uncorrected formation energy: 126 meV/atom
# * Fermi-level density of states: 8.89 states/eV/f.u.

***

[6]
# PBE SbTe3Pt, optimized geometry
data_SbTe3Pt
_space_group_name_H-M_alt 'P m -3 m'
_space_group_IT_number 221
_space_group_name_Hall '-P 4 2 3'
_cell_length_a 5.298
_cell_length_b 5.298
_cell_length_c 5.298
_cell_angle_alpha 90.00
_cell_angle_beta 90.00
_cell_angle_gamma 90.00
loop_
_atom_site_label
_atom_site_type_symbol
_atom_site_fract_x
_atom_site_fract_y
_atom_site_fract_z
_atom_site_occupancy
Sb1 Sb 0.000 0.000 0.000 1
Te1 Te 0.000 0.500 0.500 1
Pt1 Pt 0.500 0.500 0.500 1
# * uncorrected formation energy: 320 meV/atom
# * excess energy over the best structure of this formula in the dataset: 0.000 eV/atom
# * Fermi-level density of states: 4.68 states/eV/f.u.

***

[7]
# PBE TlSb2TePt, optimized geometry
data_TlSb2TePt
_space_group_name_H-M_alt 'P 4/m m m'
_space_group_IT_number 123
_space_group_name_Hall '-P 4 2'
_cell_length_a 5.585
_cell_length_b 5.585
_cell_length_c 5.619
_cell_angle_alpha 90.00
_cell_angle_beta 90.00
_cell_angle_gamma 90.00
loop_
_atom_site_label
_atom_site_type_symbol
_atom_site_fract_x
_atom_site_fract_y
_atom_site_fract_z
_atom_site_occupancy
Tl1 Tl 0.000 0.000 0.000 1
Sb1 Sb 0.000 0.500 0.000 1
Te1 Te 0.000 0.000 0.500 1
Pt1 Pt 0.500 0.500 0.500 1
# * uncorrected formation energy: 1389 meV/atom
# * excess energy over the best structure of this formula in the dataset: 1.197 eV/atom
# * Fermi-level density of states: 6.10 states/eV/f.u.

***

[8]
# PBE TlSb2TePt, optimized geometry
data_TlSb2TePt
_space_group_name_H-M_alt 'P 4/m m m'
_space_group_IT_number 123
_space_group_name_Hall '-P 4 2'
_cell_length_a 5.255
_cell_length_b 5.255
_cell_length_c 5.755
_cell_angle_alpha 90.00
_cell_angle_beta 90.00
_cell_angle_gamma 90.00
loop_
_atom_site_label
_atom_site_type_symbol
_atom_site_fract_x
_atom_site_fract_y
_atom_site_fract_z
_atom_site_occupancy
Tl1 Tl 0.000 0.000 0.000 1
Sb1 Sb 0.000 0.500 0.500 1
Te1 Te 0.500 0.500 0.000 1
Pt1 Pt 0.500 0.500 0.500 1
# * uncorrected formation energy: 192 meV/atom
# * excess energy over the best structure of this formula in the dataset: 0.000 eV/atom
# * Fermi-level density of states: 3.32 states/eV/f.u.

***

Short version: E = -4.102; -4.248; -4.382; -4.368; -5.112; -3.597; -2.570; -3.767 eV per atom, in the order given.